Entry 1:
# PBE CaScHg2, optimized geometry
# energy of formation: -186 kJ/mol of formula units
# VASP energy: -2.72 eV per atom
data_CaScHg2
_space_group_name_H-M_alt 'P 4/m m m'
_space_group_IT_number 123
_space_group_name_Hall '-P 4 2'
_cell_length_a 3.636
_cell_length_b 3.636
_cell_length_c 7.332
_cell_angle_alpha 90.00
_cell_angle_beta 90.00
_cell_angle_gamma 90.00
loop_
_atom_site_label
_atom_site_type_symbol
_atom_site_fract_x
_atom_site_fract_y
_atom_site_fract_z
_atom_site_occupancy
Ca1 Ca 0.000 0.000 0.000 1
Sc1 Sc 0.000 0.000 0.500 1
Hg1 Hg 0.500 0.500 0.277 1

=====

Entry 2:
# PBE CaSc2Hg, optimized geometry
# energy of formation: -12 kJ/mol of formula units
# VASP energy: -3.77 eV per atom
data_CaSc2Hg
_space_group_name_H-M_alt 'I -4 m 2'
_space_group_IT_number 119
_space_group_name_Hall 'I -4 -2'
_cell_length_a 4.629
_cell_length_b 4.629
_cell_length_c 9.312
_cell_angle_alpha 90.00
_cell_angle_beta 90.00
_cell_angle_gamma 90.00
loop_
_atom_site_label
_atom_site_type_symbol
_atom_site_fract_x
_atom_site_fract_y
_atom_site_fract_z
_atom_site_occupancy
Ca1 Ca 0.000 0.000 0.000 1
Sc1 Sc 0.000 0.000 0.500 1
Sc2 Sc 0.000 0.500 0.250 1
Hg1 Hg 0.000 0.500 0.750 1

=====

Entry 3:
# PBE Ca2ScHg4, optimized geometry
# energy of formation: -250 kJ/mol of formula units
# VASP energy: -2.02 eV per atom
data_Ca2ScHg4
_space_group_name_H-M_alt 'I 4/m m m'
_space_group_IT_number 139
_space_group_name_Hall '-I 4 2'
_cell_length_a 5.215
_cell_length_b 5.215
_cell_length_c 13.786
_cell_angle_alpha 90.00
_cell_angle_beta 90.00
_cell_angle_gamma 90.00
loop_
_atom_site_label
_atom_site_type_symbol
_atom_site_fract_x
_atom_site_fract_y
_atom_site_fract_z
_atom_site_occupancy
Ca1 Ca 0.000 0.000 0.240 1
Sc1 Sc 0.000 0.000 0.500 1
Hg1 Hg 0.000 0.500 0.110 1

=====

Entry 4:
# PBE Ca2Sc2Hg, optimized geometry
# energy of formation: 31 kJ/mol of formula units
# VASP energy: -3.33 eV per atom
data_Ca2Sc2Hg
_space_group_name_H-M_alt 'P 4/m b m'
_space_group_IT_number 127
_space_group_name_Hall '-P 4 2ab'
_cell_length_a 7.457
_cell_length_b 7.457
_cell_length_c 5.479
_cell_angle_alpha 90.00
_cell_angle_beta 90.00
_cell_angle_gamma 90.00
loop_
_atom_site_label
_atom_site_type_symbol
_atom_site_fract_x
_atom_site_fract_y
_atom_site_fract_z
_atom_site_occupancy
Ca1 Ca 0.168 0.332 0.000 1
Sc1 Sc 0.145 0.645 0.500 1
Hg1 Hg 0.000 0.000 0.500 1

=====

Entry 5:
# PBE CaSc2Hg, optimized geometry
# energy of formation: -3 kJ/mol of formula units
# VASP energy: -3.75 eV per atom
data_CaSc2Hg
_space_group_name_H-M_alt 'R -3 m'
_space_group_IT_number 166
_space_group_name_Hall '-R 3 2"'
_cell_length_a 3.4908
_cell_length_b 3.4908
_cell_length_c 31.3145
_cell_angle_alpha 90.00
_cell_angle_beta 90.00
_cell_angle_gamma 120.00
loop_
_atom_site_label
_atom_site_type_symbol
_atom_site_fract_x
_atom_site_fract_y
_atom_site_fract_z
_atom_site_occupancy
Ca1 Ca 0.0000 0.0000 0.0000 1
Sc1 Sc 0.0000 0.0000 0.2379 1
Hg1 Hg 0.0000 0.0000 0.5000 1

=====

Entry 6:
# PBE CaScHg2, optimized geometry
# energy of formation: -119 kJ/mol of formula units
# VASP energy: -2.54 eV per atom
data_CaScHg2
_space_group_name_H-M_alt 'C 1 2/m 1'
_space_group_IT_number 12
_cell_length_a 9.013
_cell_length_b 3.700
_cell_length_c 6.632
_cell_angle_alpha 90.00
_cell_angle_beta 103.37
_cell_angle_gamma 90.00
loop_
_space_group_symop_operation_xyz
'x,y,z'
'-x,-y,-z'
'-x,y,-z'
'x,-y,z'
'x+1/2,y+1/2,z'
'-x+1/2,-y+1/2,-z'
'-x+1/2,y+1/2,-z'
'x+1/2,-y+1/2,z'
loop_
_atom_site_label
_atom_site_type_symbol
_atom_site_fract_x
_atom_site_fract_y
_atom_site_fract_z
_atom_site_occupancy
Ca1 Ca 0.000 0.000 0.000 1
Sc1 Sc 0.000 0.500 0.500 1
Hg1 Hg 0.245 0.000 0.714 1

=====

Entry 7:
# PBE CaSc2Hg2, optimized geometry
# energy of formation: -116 kJ/mol of formula units
# VASP energy: -3.29 eV per atom
data_CaSc2Hg2
_space_group_name_H-M_alt 'I 4/m m m'
_space_group_IT_number 139
_space_group_name_Hall '-I 4 2'
_cell_length_a 4.394
_cell_length_b 4.394
_cell_length_c 13.695
_cell_angle_alpha 90.00
_cell_angle_beta 90.00
_cell_angle_gamma 90.00
loop_
_atom_site_label
_atom_site_type_symbol
_atom_site_fract_x
_atom_site_fract_y
_atom_site_fract_z
_atom_site_occupancy
Ca1 Ca 0.000 0.000 0.000 1
Sc1 Sc 0.000 0.500 0.250 1
Hg1 Hg 0.000 0.000 0.396 1

=====

Entry 8:
# PBE CaSc3Hg4, optimized geometry
# energy of formation: -338 kJ/mol of formula units
# VASP energy: -3.21 eV per atom
data_CaSc3Hg4
_space_group_name_H-M_alt 'P 4/m m m'
_space_group_IT_number 123
_space_group_name_Hall '-P 4 2'
_cell_length_a 5.049
_cell_length_b 5.049
_cell_length_c 7.199
_cell_angle_alpha 90.00
_cell_angle_beta 90.00
_cell_angle_gamma 90.00
loop_
_atom_site_label
_atom_site_type_symbol
_atom_site_fract_x
_atom_site_fract_y
_atom_site_fract_z
_atom_site_occupancy
Ca1 Ca 0.000 0.000 0.000 1
Sc1 Sc 0.000 0.000 0.500 1
Sc2 Sc 0.500 0.500 0.000 1
Sc3 Sc 0.500 0.500 0.500 1
Hg1 Hg 0.000 0.500 0.264 1